No. 1
PuP2O6 | PBE | relaxed

Properties
Space-group type: No. 15
Energy, eV per cell: -149.4
Formation energy (no corrections), eV/atom: -2.20

extended XYZ file:
```
18
Lattice="4.337 0.002 -1.496 -2.521 8.290 -0.289 0.566 0.114 8.650" Properties=species:S:1:pos:R:3 pbc="T T T"
Pu -0.667 6.252 1.566
Pu 3.049 2.154 5.299
P 0.159 2.737 1.096
P -0.424 6.932 5.134
P 2.223 5.668 5.769
P 2.805 1.473 1.731
O 1.228 1.814 1.868
O -0.791 5.998 6.393
O 1.154 6.591 4.997
O 3.173 2.407 0.473
O 3.499 1.966 2.971
O 1.892 4.213 5.581
O -1.118 6.440 3.894
O 0.489 4.193 1.284
O 0.505 2.343 8.348
O 1.961 0.095 5.789
O 1.877 6.062 -1.482
O 0.421 8.310 1.076
```

---

No. 2
PuPO6 | PBE | relaxed

Properties
Space-group type: No. 148
Energy, eV per cell: -64.7
Formation energy (no corrections), eV/atom: -1.90

extended XYZ file:
```
8
Lattice="5.110 0.006 0.007 2.550 4.429 0.010 2.547 1.472 4.313" Properties=species:S:1:pos:R:3 pbc="T T T"
Pu 5.104 2.954 2.165
P 0.000 0.000 0.000
O 3.509 2.484 3.337
O 6.304 1.806 3.339
O 4.714 1.341 0.988
O 3.903 4.101 0.991
O 6.698 3.423 0.993
O 5.494 4.566 3.342
```